No. 1
PbAuO2: optimized geometry, PBEsol.

a b c (Å): 3.669 3.669 12.324
angles (deg): 90.00 90.00 120.00
Fractional positions:
Pb  0.000  0.000  0.500
Pb  0.000  0.000  0.000
Au  0.667  0.333  0.750
Au  0.333  0.667  0.250
O  0.667  0.333  0.910
O  0.333  0.667  0.410
O  0.333  0.667  0.090
O  0.667  0.333  0.590

Raw formation energy, kJ/mol of atoms: -53.5
Calculated volume, Å³ per atom: 17.96

No. 2
HfTiFe4: optimized geometry, PBEsol.

a b c (Å): 4.760 4.760 7.781
angles (deg): 90.00 90.00 120.00
Fractional positions:
Hf  0.333  0.667  0.571
Hf  0.667  0.333  0.429
Ti  0.667  0.333  0.055
Ti  0.333  0.667  0.945
Fe  0.000  0.000  0.500
Fe  0.000  0.000  0.000
Fe  0.338  0.169  0.756
Fe  0.831  0.662  0.756
Fe  0.831  0.169  0.756
Fe  0.662  0.831  0.244
Fe  0.169  0.338  0.244
Fe  0.169  0.831  0.244

Formation enthalpy at 0 K, meV per atom: -319
Calculated volume, Å³ per atom: 12.73

No. 3
TlV3H: optimized geometry, PBEsol.

a b c (Å): 3.934 3.934 3.934
angles (deg): 90.00 90.00 90.00
Fractional positions:
H  0.000  0.000  0.000
Tl  0.500  0.500  0.500
V  0.000  0.500  0.000
V  0.000  0.000  0.500
V  0.500  0.000  0.000

Raw total energy, eV per atom: -6.88
Calculated volume, Å³ per atom: 12.17

No. 4
CrOs2Rh: optimized geometry, PBEsol.

a b c (Å): 3.753 3.753 3.756
angles (deg): 90.00 90.00 90.00
Fractional positions:
Rh  0.500  0.500  0.500
Os  0.000  0.500  0.000
Os  0.500  0.000  0.000
Cr  0.000  0.000  0.500

Distance to the lowest polymorph of the same formula, meV per atom: 0
Formation enthalpy at 0 K, meV per atom: 41
Calculated volume, Å³ per atom: 13.22

Record-wise magnetic moment values, in μB per atom: 0.00; 0.80; 0.00; 0.12